# 1
# PBE CaAsOs2, relaxed
# **Total DFT energy (no corrections)**: -26.67 eV per cell
# **Formation energy**: 59.0 kJ per mole of atoms
data_CaAsOs2
_chemical_formula_sum 'Ca1 As1 Os2'
_space_group_name_H-M_alt 'P 1'
_space_group_IT_number 1
_space_group_name_Hall 'P 1'
_cell_length_a 8.6196
_cell_length_b 8.6196
_cell_length_c 8.6196
_cell_angle_alpha 20.75
_cell_angle_beta 20.75
_cell_angle_gamma 20.75
loop_
_atom_site_label
_atom_site_fract_x
_atom_site_fract_y
_atom_site_fract_z
Os1 0.9859 0.9859 0.9859
Os2 0.5141 0.5141 0.5141
Ca1 0.7500 0.7500 0.7500
As1 0.2500 0.2500 0.2500



# 2
# PBE CaAs2Os, relaxed
# **Total DFT energy (no corrections)**: -22.00 eV per cell
# **Formation energy**: 12.8 kJ per mole of atoms
data_CaAs2Os
_chemical_formula_sum 'Ca1 As2 Os1'
_space_group_name_H-M_alt 'P 1'
_space_group_IT_number 1
_space_group_name_Hall 'P 1'
_cell_length_a 6.8727
_cell_length_b 4.6640
_cell_length_c 3.3834
_cell_angle_alpha 90.12
_cell_angle_beta 60.32
_cell_angle_gamma 123.86
loop_
_atom_site_label
_atom_site_fract_x
_atom_site_fract_y
_atom_site_fract_z
Os1 0.5000 0.5000 0.0000
As1 0.0000 0.0000 0.0000
As2 0.5000 0.0000 0.5000
Ca1 0.0000 0.5000 0.5000



# 3
# PBE CaAs2Os, relaxed
# **Total DFT energy (no corrections)**: -23.30 eV per cell
# **Formation energy**: -18.5 kJ per mole of atoms
data_CaAs2Os
_chemical_formula_sum 'Ca1 As2 Os1'
_space_group_name_H-M_alt 'P 1'
_space_group_IT_number 1
_space_group_name_Hall 'P 1'
_cell_length_a 4.1692
_cell_length_b 3.2615
_cell_length_c 5.7147
_cell_angle_alpha 89.99
_cell_angle_beta 90.00
_cell_angle_gamma 90.00
loop_
_atom_site_label
_atom_site_fract_x
_atom_site_fract_y
_atom_site_fract_z
Os1 0.5000 0.7500 0.7500
As1 0.0000 0.7504 0.9848
Ca1 0.5000 0.2500 0.2500
As2 0.0000 0.7496 0.5152



# 4
# PBE CaAsOs2, relaxed
# **Total DFT energy (no corrections)**: -28.16 eV per cell
# **Formation energy**: 22.9 kJ per mole of atoms
data_CaAsOs2
_chemical_formula_sum 'Ca1 As1 Os2'
_space_group_name_H-M_alt 'P 1'
_space_group_IT_number 1
_space_group_name_Hall 'P 1'
_cell_length_a 2.9129
_cell_length_b 3.8131
_cell_length_c 6.5918
_cell_angle_alpha 90.00
_cell_angle_beta 90.00
_cell_angle_gamma 90.00
loop_
_atom_site_label
_atom_site_fract_x
_atom_site_fract_y
_atom_site_fract_z
As1 0.0000 0.0000 0.4506
Os1 0.5000 0.5000 0.2323
Os2 0.0000 0.0000 0.0691
Ca1 0.5000 0.5000 0.7480



# 5
# PBE Ca2AsOs, relaxed
# **Total DFT energy (no corrections)**: -19.84 eV per cell
# **Formation energy**: 1.0 kJ per mole of atoms
data_Ca2AsOs
_chemical_formula_sum 'Ca2 As1 Os1'
_space_group_name_H-M_alt 'P 1'
_space_group_IT_number 1
_space_group_name_Hall 'P 1'
_cell_length_a 4.1457
_cell_length_b 3.1002
_cell_length_c 7.1968
_cell_angle_alpha 64.54
_cell_angle_beta 90.00
_cell_angle_gamma 90.00
loop_
_atom_site_label
_atom_site_fract_x
_atom_site_fract_y
_atom_site_fract_z
As1 0.5000 0.7500 0.7500
Ca1 0.0000 0.5026 0.4978
Ca2 0.0000 0.9974 0.0022
Os1 0.5000 0.2500 0.2500



# 6
# PBE Ca2AsOs, relaxed
# **Total DFT energy (no corrections)**: -20.46 eV per cell
# **Formation energy**: -13.8 kJ per mole of atoms
data_Ca2AsOs
_chemical_formula_sum 'Ca2 As1 Os1'
_space_group_name_H-M_alt 'P 1'
_space_group_IT_number 1
_space_group_name_Hall 'P 1'
_cell_length_a 5.8288
_cell_length_b 5.8288
_cell_length_c 5.8288
_cell_angle_alpha 141.01
_cell_angle_beta 130.71
_cell_angle_gamma 64.57
loop_
_atom_site_label
_atom_site_fract_x
_atom_site_fract_y
_atom_site_fract_z
Ca1 0.0251 0.0251 0.0000
Ca2 0.7377 0.2377 0.5000
Os1 0.4379 0.4379 0.0000
As1 0.2992 0.7992 0.5000



# 7
# PBE CaAsOs2, relaxed
# **Total DFT energy (no corrections)**: -28.36 eV per cell
# **Formation energy**: 18.2 kJ per mole of atoms
data_CaAsOs2
_chemical_formula_sum 'Ca1 As1 Os2'
_space_group_name_H-M_alt 'P 1'
_space_group_IT_number 1
_space_group_name_Hall 'P 1'
_cell_length_a 5.1637
_cell_length_b 5.1637
_cell_length_c 5.5272
_cell_angle_alpha 69.39
_cell_angle_beta 69.39
_cell_angle_gamma 33.97
loop_
_atom_site_label
_atom_site_fract_x
_atom_site_fract_y
_atom_site_fract_z
Os1 0.9703 0.9703 0.1399
As1 0.5352 0.5352 0.4390
Os2 0.2506 0.2506 0.1978
Ca1 0.7439 0.7439 0.7233



# 8
# PBE Ca2AsOs, relaxed
# **Total DFT energy (no corrections)**: -20.58 eV per cell
# **Formation energy**: -16.9 kJ per mole of atoms
data_Ca2AsOs
_chemical_formula_sum 'Ca2 As1 Os1'
_space_group_name_H-M_alt 'P 1'
_space_group_IT_number 1
_space_group_name_Hall 'P 1'
_cell_length_a 5.8398
_cell_length_b 5.8398
_cell_length_c 5.0165
_cell_angle_alpha 71.43
_cell_angle_beta 71.43
_cell_angle_gamma 33.63
loop_
_atom_site_label
_atom_site_fract_x
_atom_site_fract_y
_atom_site_fract_z
Ca1 0.0248 0.0248 0.9537
Ca2 0.2252 0.2252 0.2939
Os1 0.4557 0.4557 0.5154
As1 0.7942 0.7942 0.7370